## Pr2RuF (PBE)

Data for a relaxed structure of Pr2RuF.

Computed properties:
ρ in Mg/m³: 6.72
E above lowest polymorph in meV per atom: 56
N(E_F) in states/eV per atom: 0.653
Total energy in eV per cell: -25.32
E_form (uncorrected) in eV/atom: -1.154
Size of the total moment in μB per cell: 0.0

abc: 7.704 7.704 7.704
angles: 29.67 29.67 29.67
Fractional coordinates of all 4 atoms:
Pr: 0.000 0.000 0.000
Pr: 0.182 0.182 0.182
Ru: 0.587 0.587 0.587
F: 0.402 0.402 0.402